(1)
# ZnCu2SiTe2Se2, optimized geometry, DFT PBE
# - relative energy among the computed polymorphs (eV/atom) = 0.000
# - raw total energy (eV per cell) = -59.23
data_ZnCu2SiTe2Se2
_space_group_name_H-M_alt 'C 1 2 1'
_space_group_IT_number 5
_cell_length_a 12.8711
_cell_length_b 5.8069
_cell_length_c 5.7919
_cell_angle_alpha 90.00
_cell_angle_beta 115.96
_cell_angle_gamma 90.00
loop_
_space_group_symop_operation_xyz
'x,y,z'
'-x,y,-z'
'x+1/2,y+1/2,z'
'-x+1/2,y+1/2,-z'
loop_
_atom_site_label
_atom_site_type_symbol
_atom_site_fract_x
_atom_site_fract_y
_atom_site_fract_z
Zn1 Zn 0.0000 0.0000 0.0000
Cu1 Cu 0.2504 0.0155 0.7218
Si1 Si 0.0000 0.5390 0.5000
Te1 Te 0.1320 0.2796 0.8709
Se1 Se 0.1240 0.7587 0.3850



(2)
# ZnCu2SiTeSe3, optimized geometry, DFT PBE
# - raw total energy (eV per cell) = -60.81
data_ZnCu2SiTeSe3
_space_group_name_H-M_alt 'C 1 m 1'
_space_group_IT_number 8
_cell_length_a 8.0803
_cell_length_b 7.9975
_cell_length_c 6.9264
_cell_angle_alpha 90.00
_cell_angle_beta 125.03
_cell_angle_gamma 90.00
loop_
_space_group_symop_operation_xyz
'x,y,z'
'x,-y,z'
'x+1/2,y+1/2,z'
'x+1/2,-y+1/2,z'
loop_
_atom_site_label
_atom_site_type_symbol
_atom_site_fract_x
_atom_site_fract_y
_atom_site_fract_z
Zn1 Zn 0.0000 0.0000 0.0000
Cu1 Cu 0.0020 0.2639 0.5212
Si1 Si 0.4812 0.0000 0.0012
Te1 Te 0.3644 0.5000 0.2694
Se1 Se 0.3666 0.2359 0.7542
Se2 Se 0.3777 0.0000 0.2537



(3)
# ZnCu2SiTe2Se2, optimized geometry, DFT PBE
# - relative energy among the computed polymorphs (eV/atom) = 0.009
# - raw total energy (eV per cell) = -118.17
data_ZnCu2SiTe2Se2
_space_group_name_H-M_alt 'F m m 2'
_space_group_IT_number 42
_space_group_name_Hall 'F 2 -2'
_cell_length_a 8.1628
_cell_length_b 8.2828
_cell_length_c 11.5418
_cell_angle_alpha 90.00
_cell_angle_beta 90.00
_cell_angle_gamma 90.00
loop_
_atom_site_label
_atom_site_type_symbol
_atom_site_fract_x
_atom_site_fract_y
_atom_site_fract_z
Zn1 Zn 0.0000 0.0000 0.0000
Cu1 Cu 0.2500 0.2500 0.2699
Si1 Si 0.0000 0.0000 0.4997
Te1 Te 0.0000 0.2419 0.6357
Se1 Se 0.2356 0.0000 0.3797



(4)
# TlCuSiSe3, optimized geometry, DFT PBE
# - raw total energy (eV per cell) = -94.52
data_TlCuSiSe3
_space_group_name_H-M_alt 'P n m a'
_space_group_IT_number 62
_cell_length_a 14.5621
_cell_length_b 3.7702
_cell_length_c 10.2047
_cell_angle_alpha 90.00
_cell_angle_beta 90.00
_cell_angle_gamma 90.00
loop_
_space_group_symop_operation_xyz
'x,y,z'
'-x,-y,-z'
'-x+1/2,-y,z+1/2'
'x+1/2,y,-z+1/2'
'x+1/2,-y+1/2,-z+1/2'
'-x+1/2,y+1/2,z+1/2'
'-x,y+1/2,-z'
'x,-y+1/2,z'
loop_
_atom_site_label
_atom_site_type_symbol
_atom_site_fract_x
_atom_site_fract_y
_atom_site_fract_z
Tl1 Tl 0.2206 0.2500 0.0209
Cu1 Cu 0.0150 0.7500 0.0759
Si1 Si 0.0152 0.2500 0.3495
Se1 Se 0.0826 0.7500 0.8510
Se2 Se 0.0893 0.2500 0.5646
Se3 Se 0.1170 0.7500 0.2687



(5)
# Sm3CuSe6, optimized geometry, DFT PBE
# - raw total energy (eV per cell) = -213.97
data_Sm3CuSe6
_space_group_name_H-M_alt 'P 1 21/m 1'
_space_group_IT_number 11
_cell_length_a 7.2235
_cell_length_b 17.0648
_cell_length_c 7.9439
_cell_angle_alpha 90.00
_cell_angle_beta 90.59
_cell_angle_gamma 90.00
loop_
_space_group_symop_operation_xyz
'x,y,z'
'-x,-y,-z'
'-x,y+1/2,-z'
'x,-y+1/2,z'
loop_
_atom_site_label
_atom_site_type_symbol
_atom_site_fract_x
_atom_site_fract_y
_atom_site_fract_z
Sm1 Sm 0.2275 0.0904 0.4424
Sm2 Sm 0.2440 0.5873 0.0589
Sm3 Sm 0.2621 0.2500 0.0575
Sm4 Sm 0.2641 0.7500 0.4448
Cu1 Cu 0.3960 0.5290 0.7041
Se1 Se 0.0687 0.1752 0.7503
Se2 Se 0.0722 0.0001 0.7529
Se3 Se 0.0788 0.6760 0.7551
Se4 Se 0.3743 0.2500 0.4035
Se5 Se 0.3841 0.0814 0.0973
Se6 Se 0.3857 0.7500 0.1030
Se7 Se 0.3915 0.5813 0.4095



(6)
# SmCuSe2, optimized geometry, DFT PBE
# - raw total energy (eV per cell) = -77.91
data_SmCuSe2
_space_group_name_H-M_alt 'I -4 2 d'
_space_group_IT_number 122
_space_group_name_Hall 'I -4 2bw'
_cell_length_a 5.9635
_cell_length_b 5.9635
_cell_length_c 12.4797
_cell_angle_alpha 90.00
_cell_angle_beta 90.00
_cell_angle_gamma 90.00
loop_
_atom_site_label
_atom_site_type_symbol
_atom_site_fract_x
_atom_site_fract_y
_atom_site_fract_z
Sm1 Sm 0.0000 0.0000 0.0000
Cu1 Cu 0.0000 0.0000 0.5000
Se1 Se 0.2019 0.7500 0.6250



(7)
# Sm3CuSnSe7, optimized geometry, DFT PBE
# - raw total energy (eV per cell) = -123.75
data_Sm3CuSnSe7
_space_group_name_H-M_alt 'P 63'
_space_group_IT_number 173
_cell_length_a 10.4890
_cell_length_b 10.4890
_cell_length_c 6.3642
_cell_angle_alpha 90.00
_cell_angle_beta 90.00
_cell_angle_gamma 120.00
loop_
_space_group_symop_operation_xyz
'x,y,z'
'x-y,x,z+1/2'
'-y,x-y,z'
'-x,-y,z+1/2'
'-x+y,-x,z'
'y,-x+y,z+1/2'
loop_
_atom_site_label
_atom_site_type_symbol
_atom_site_fract_x
_atom_site_fract_y
_atom_site_fract_z
Sm1 Sm 0.1418 0.7856 0.0000
Cu1 Cu 0.0000 0.0000 0.0609
Sn1 Sn 0.3333 0.6667 0.4252
Se1 Se 0.0815 0.5141 0.2467
Se2 Se 0.1069 0.8463 0.5459
Se3 Se 0.3333 0.6667 0.8227



(8)
# SmCuSnSe3, optimized geometry, DFT PBE
# - raw total energy (eV per cell) = -112.76
data_SmCuSnSe3
_space_group_name_H-M_alt 'C 1 2/m 1'
_space_group_IT_number 12
_cell_length_a 18.7444
_cell_length_b 4.0798
_cell_length_c 8.2264
_cell_angle_alpha 90.00
_cell_angle_beta 103.50
_cell_angle_gamma 90.00
loop_
_space_group_symop_operation_xyz
'x,y,z'
'-x,-y,-z'
'-x,y,-z'
'x,-y,z'
'x+1/2,y+1/2,z'
'-x+1/2,-y+1/2,-z'
'-x+1/2,y+1/2,-z'
'x+1/2,-y+1/2,z'
loop_
_atom_site_label
_atom_site_type_symbol
_atom_site_fract_x
_atom_site_fract_y
_atom_site_fract_z
Sm1 Sm 0.1611 0.0000 0.0844
Cu1 Cu 0.0411 0.5000 0.2071
Sn1 Sn 0.1201 0.0000 0.5661
Se1 Se 0.0000 0.0000 0.0000
Se2 Se 0.0000 0.5000 0.5000
Se3 Se 0.1727 0.5000 0.3381
Se4 Se 0.1757 0.5000 0.8420